4
Lattice="5.319 0.001 0.011 2.682 4.594 -0.011 -3.457 -3.244 2.412" Properties=species:S:1:pos:R:3 comment="MgNiPt2, optimized geometry, DFT PBE" e_form_ev_per_atom=-0.353 crystal_system=orthorhombic total_magnetization_mub_per_cell=0.18 dos_ef_per_ev_cell=4.76 pbc="T T T"
Pt 2.935 -0.471 1.212
Ni 1.572 1.800 1.201
Pt 0.105 0.060 0.000
Mg 3.933 2.258 0.000